one:
A plane-wave DFT calculation with PBEsol was carried out for crystalline Hg2RuPt at its relaxed geometry.

Results
The magnetic moment is 0.0 Bohr magnetons per cell. The calculation puts the density of states at the Fermi level at 3.1 states/eV per cell.

a = 5.8336 Å, b = 5.8336 Å, c = 5.8336 Å
α = 152.13°, β = 131.01°, γ = 57.30°
Element x y z (fractional)
Hg  0.0000  0.0000  0.0000
Hg  0.7189  0.2189  0.5000
Ru  0.4755  0.4755  0.0000
Pt  0.2603  0.7603  0.5000

---

two:
A plane-wave DFT calculation with PBEsol was carried out for crystalline Hg2RuPt at its relaxed geometry.

Results
The magnetic moment is 0.0 Bohr magnetons per cell. The calculation puts the density of states at the Fermi level at 3.3 states/eV per cell.

a = 9.6087 Å, b = 9.6087 Å, c = 9.6087 Å
α = 17.34°, β = 17.34°, γ = 17.34°
Element x y z (fractional)
Hg  0.0000  0.0000  0.0000
Hg  0.2381  0.2381  0.2381
Ru  0.4892  0.4892  0.4892
Pt  0.7515  0.7515  0.7515

---

Of them, one has the lowest stability.

---

one:
A plane-wave DFT calculation with PBEsol was carried out for crystalline Hg2RuPt at its relaxed geometry.

Results
The magnetic moment is 0.3 Bohr magnetons per cell. The calculation puts the density of states at the Fermi level at 3.0 states/eV per cell.

a = 4.8885 Å, b = 2.8649 Å, c = 5.1409 Å
α = 90.00°, β = 110.61°, γ = 90.00°
Element x y z (fractional)
Hg  0.0000  0.0000  0.0000
Hg  0.0000  0.5000  0.5000
Ru  0.5000  0.0000  0.5000
Pt  0.5000  0.5000  0.0000

---

two:
A plane-wave DFT calculation with PBEsol was carried out for crystalline Hg2RuPt at its relaxed geometry.

Results
The magnetic moment is 0.0 Bohr magnetons per cell. The calculation puts the density of states at the Fermi level at 4.1 states/eV per cell.

a = 4.3500 Å, b = 4.3500 Å, c = 3.5543 Å
α = 90.00°, β = 90.00°, γ = 90.00°
Element x y z (fractional)
Hg  0.0000  0.5000  0.0000
Hg  0.5000  0.0000  0.0000
Ru  0.0000  0.0000  0.5000
Pt  0.5000  0.5000  0.5000

---

Of them, two has the lowest stability.

---

one:
A plane-wave DFT calculation with PBEsol was carried out for crystalline TcHgPt at its relaxed geometry.

Results
The magnetic moment is 0.0 Bohr magnetons per cell. The calculation puts the density of states at the Fermi level at 2.4 states/eV per cell.

a = 6.4735 Å, b = 6.4735 Å, c = 6.4735 Å
α = 155.00°, β = 155.00°, γ = 35.64°
Element x y z (fractional)
Tc  0.0000  0.0000  0.0000
Hg  0.6758  0.6758  0.0000
Pt  0.3587  0.3587  0.0000

---

two:
A plane-wave DFT calculation with PBEsol was carried out for crystalline TcHgPt at its relaxed geometry.

Results
The magnetic moment is 0.0 Bohr magnetons per cell. The calculation puts the density of states at the Fermi level at 2.7 states/eV per cell.

a = 2.8372 Å, b = 2.8372 Å, c = 6.9203 Å
α = 90.00°, β = 90.00°, γ = 120.00°
Element x y z (fractional)
Tc  0.0000  0.0000  0.0000
Hg  0.3333  0.6667  0.6515
Pt  0.6667  0.3333  0.2978

---

Of them, two has the lowest stability.

---

one:
A plane-wave DFT calculation with PBEsol was carried out for crystalline Tl2HgPt at its relaxed geometry.

Results
The magnetic moment is 0.0 Bohr magnetons per cell. The calculation puts the density of states at the Fermi level at 3.0 states/eV per cell.

a = 6.8319 Å, b = 6.8319 Å, c = 6.8319 Å
α = 98.83°, β = 98.83°, γ = 133.87°
Element x y z (fractional)
Tl  0.0343  0.6250  0.9093
Tl  0.3750  0.2843  0.4093
Tl  0.7157  0.1250  0.0907
Tl  0.8750  0.9657  0.5907
Hg  0.2500  0.7500  0.5000
Hg  0.5000  0.5000  0.0000
Pt  0.0000  0.0000  0.0000
Pt  0.7500  0.2500  0.5000

---

two:
A plane-wave DFT calculation with PBEsol was carried out for crystalline Tl2HgPt at its relaxed geometry.

Results
The magnetic moment is 0.0 Bohr magnetons per cell. The calculation puts the density of states at the Fermi level at 1.3 states/eV per cell.

a = 4.9435 Å, b = 4.9435 Å, c = 4.9435 Å
α = 117.96°, β = 117.96°, γ = 93.58°
Element x y z (fractional)
Tl  0.2500  0.7500  0.5000
Tl  0.7500  0.2500  0.5000
Hg  0.0000  0.0000  0.0000
Pt  0.5000  0.5000  0.0000

---

three:
A plane-wave DFT calculation with PBEsol was carried out for crystalline Tl2HgPt at its relaxed geometry.

Results
The magnetic moment is 0.0 Bohr magnetons per cell. The calculation puts the density of states at the Fermi level at 1.6 states/eV per cell.

a = 3.6899 Å, b = 6.5835 Å, c = 6.5835 Å
α = 36.04°, β = 90.00°, γ = 90.00°
Element x y z (fractional)
Tl  0.0000  0.0000  0.0000
Tl  0.5000  0.3098  0.3098
Hg  0.0000  0.7032  0.7032
Pt  0.5000  0.5323  0.5323

---

Of them, two has the lowest stability.

---

one:
A plane-wave DFT calculation with PBEsol was carried out for crystalline Tl2HgPt at its relaxed geometry.

Results
The magnetic moment is 0.0 Bohr magnetons per cell. The calculation puts the density of states at the Fermi level at 1.7 states/eV per cell.

a = 7.4118 Å, b = 7.4118 Å, c = 7.4118 Å
α = 156.47°, β = 143.38°, γ = 43.99°
Element x y z (fractional)
Tl  0.1823  0.1823  0.0000
Tl  0.8177  0.8177  0.0000
Hg  0.5000  0.0000  0.5000
Pt  0.0000  0.5000  0.5000

---

two:
A plane-wave DFT calculation with PBEsol was carried out for crystalline Tl2HgPt at its relaxed geometry.

Results
The magnetic moment is 0.0 Bohr magnetons per cell. The calculation puts the density of states at the Fermi level at 1.5 states/eV per cell.

a = 5.3068 Å, b = 5.3068 Å, c = 6.0536 Å
α = 123.79°, β = 123.79°, γ = 43.13°
Element x y z (fractional)
Tl  0.0000  0.0000  0.0000
Tl  0.1791  0.1791  0.6329
Hg  0.7901  0.7901  0.2233
Pt  0.4767  0.4767  0.6465

---

Of them, two has the lowest stability.

---

one:
A plane-wave DFT calculation with PBEsol was carried out for crystalline TlHg2Pt at its relaxed geometry.

Results
The magnetic moment is 0.0 Bohr magnetons per cell. The calculation puts the density of states at the Fermi level at 1.7 states/eV per cell.

a = 3.1171 Å, b = 3.1171 Å, c = 8.6694 Å
α = 90.00°, β = 90.00°, γ = 90.00°
Element x y z (fractional)
Tl  0.0000  0.0000  0.0000
Hg  0.0000  0.0000  0.5622
Hg  0.5000  0.5000  0.2939
Pt  0.5000  0.5000  0.7731

---

two:
A plane-wave DFT calculation with PBEsol was carried out for crystalline TlHg2Pt at its relaxed geometry.

Results
The magnetic moment is 0.0 Bohr magnetons per cell. The calculation puts the density of states at the Fermi level at 1.1 states/eV per cell.

a = 3.0113 Å, b = 5.2069 Å, c = 5.2602 Å
α = 90.00°, β = 90.00°, γ = 90.00°
Element x y z (fractional)
Tl  0.0000  0.0000  0.0000
Hg  0.0000  0.5000  0.5000
Hg  0.5000  0.5000  0.0000
Pt  0.5000  0.0000  0.5000

---

Of them, two has the lowest stability.